No. 1
VASP calculation (GGA-PBE) on crystalline AcTb7Sm3 at its relaxed geometry.

## Properties
Calculated density in g cm⁻³: 7.64
Energy above the lowest structure with this stoichiometry in eV per atom: 0.000
Space-group type: No. 156
Calculated volume in Å³/cell: 389.4
E_tot in eV per atom: -4.406

a = 8.7763 Å, b = 7.1577 Å, c = 7.1577 Å
α = 120.00°, β = 90.00°, γ = 90.00°
Closest atoms and distances in Å follow each position.
Fractional coordinates of all 11 atoms:
Tb 0.1211 0.6667 0.3333  9 Tb 3.52-3.58, 3 Sm 3.57
Tb 0.4469 0.3356 0.1678  7 Tb 3.52-3.60, 2 Ac 3.58, 2 Sm 3.62
Tb 0.4469 0.8322 0.1678  7 Tb 3.52-3.60, 2 Ac 3.58, 2 Sm 3.62
Tb 0.4469 0.8322 0.6644  7 Tb 3.52-3.60, 2 Ac 3.58, 2 Sm 3.62
Tb 0.1152 0.1664 0.8336  2 Sm 3.55, 1 Ac 3.56, 8 Tb 3.57-3.58
Tb 0.1152 0.6671 0.8336  2 Sm 3.55, 1 Ac 3.56, 8 Tb 3.57-3.58
Tb 0.1152 0.1664 0.3329  2 Sm 3.55, 1 Ac 3.56, 8 Tb 3.57-3.58
Ac 0.4456 0.3333 0.6667  9 Tb 3.56-3.58, 3 Sm 3.65
Sm 0.7873 0.5014 0.4986  4 Sm 3.55-3.61, 5 Tb 3.55-3.62, 1 Ac 3.65
Sm 0.7873 0.5014 0.0029  4 Sm 3.55-3.61, 5 Tb 3.55-3.62, 1 Ac 3.65
Sm 0.7873 0.9971 0.4986  4 Sm 3.55-3.61, 5 Tb 3.55-3.62, 1 Ac 3.65

No. 2
VASP calculation (GGA-PBE) on crystalline HgSe2N at its relaxed geometry.

## Properties
Calculated density in g cm⁻³: 5.66
Energy above the lowest structure with this stoichiometry in eV per atom: 0.000
Space-group type: No. 166
Calculated volume in Å³/cell: 109.2
E_tot in eV per atom: -3.229
E_form (uncorrected) in meV per atom: 670

a = 8.5364 Å, b = 8.5364 Å, c = 8.5364 Å
α = 26.51°, β = 26.51°, γ = 26.51°
Closest atoms and distances in Å follow each position.
Fractional coordinates of all 4 atoms:
Hg 0.5000 0.5000 0.5000  6 Se 3.30
Se 0.0690 0.0690 0.0690  1 N 1.70
Se 0.9310 0.9310 0.9310  1 N 1.70
N 0.0000 0.0000 0.0000  2 Se 1.70

No. 3
VASP calculation (GGA-PBE) on crystalline PuGaAg2 at its relaxed geometry.

## Properties
Calculated density in g cm⁻³: 10.89
Energy above the lowest structure with this stoichiometry in eV per atom: 0.000
Space-group type: No. 123
Calculated volume in Å³/cell: 80.7
E_tot in eV per atom: -5.736

a = 3.1267 Å, b = 3.1267 Å, c = 8.2556 Å
α = 90.00°, β = 90.00°, γ = 90.00°
Closest atoms and distances in Å follow each position.
Fractional coordinates of all 4 atoms:
Ag 0.0000 0.0000 0.7888  4 Ga 2.82, 4 Ag 3.13
Ag 0.0000 0.0000 0.2112  4 Ga 2.82, 4 Ag 3.13
Pu 0.5000 0.5000 0.5000  4 Pu 3.13, 8 Ag 3.25
Ga 0.5000 0.5000 0.0000  8 Ag 2.82, 4 Ga 3.13

No. 4
VASP calculation (GGA-PBE) on crystalline SiMoPt2 at its relaxed geometry.

## Properties
Calculated density in g cm⁻³: 14.23
Space-group type: No. 47
Calculated volume in Å³/cell: 60.0
E_tot in eV per atom: -7.310
E_form (uncorrected) in meV per atom: -227

a = 3.6268 Å, b = 3.9361 Å, c = 4.2044 Å
α = 90.00°, β = 90.00°, γ = 90.00°
Closest atoms and distances in Å follow each position.
Fractional coordinates of all 4 atoms:
Pt 0.0000 0.0000 0.0000  4 Pt 2.68, 4 Si 2.78, 4 Mo 2.88
Pt 0.5000 0.5000 0.0000  4 Pt 2.68, 4 Mo 2.78, 4 Si 2.88
Mo 0.0000 0.5000 0.5000  4 Si 2.68, 8 Pt 2.78-2.88
Si 0.5000 0.0000 0.5000  4 Mo 2.68, 8 Pt 2.78-2.88